Model one:
{"formula": "Br", "functional": "PBEsol", "state": "optimized geometry", "vol_a3_per_cell": 299, "magmom_total_mub_per_fu": 0.01, "cell": [[-2.093, 2.512, -4.376], [4.928, -3.430, -3.170], [-6.662, -5.632, 2.550]], "species": ["Br", "Br", "Br", "Br", "Br", "Br", "Br", "Br"], "fractional_positions": [[0.740, 0.150, 0.201], [0.260, 0.850, 0.799], [0.542, 0.588, 0.812], [0.458, 0.412, 0.188], [0.824, 0.319, 0.801], [0.176, 0.681, 0.199], [0.209, 0.775, 0.498], [0.791, 0.225, 0.502]]}

=====

Model two:
{"formula": "Br", "functional": "PBEsol", "state": "optimized geometry", "vol_a3_per_cell": 105, "magmom_total_mub_per_fu": 0.00, "cell": [[-2.341, -1.323, -3.058], [1.673, -2.666, 2.584], [-5.901, 0.477, 4.311]], "species": ["Br", "Br", "Br"], "fractional_positions": [[0.000, 0.906, 0.833], [0.906, 0.000, 0.500], [0.094, 0.094, 0.167]]}

=====

Model three:
{"formula": "Br", "functional": "PBEsol", "state": "optimized geometry", "vol_a3_per_cell": 81, "magmom_total_mub_per_fu": 0.54, "cell": [[4.860, 0.000, 0.000], [2.430, 4.209, 0.000], [2.430, 1.403, 3.968]], "species": ["Br", "Br"], "fractional_positions": [[0.500, 0.500, 0.500], [0.750, 0.750, 0.750]]}

=====

Model four:
{"formula": "Br", "functional": "PBEsol", "state": "optimized geometry", "vol_a3_per_cell": 129, "magmom_total_mub_per_fu": 0.00, "cell": [[4.140, -0.019, 0.000], [-1.516, 3.853, 0.000], [0.000, 0.000, 8.085]], "species": ["Br", "Br", "Br", "Br"], "fractional_positions": [[0.500, 0.500, 0.000], [0.500, 0.500, 0.500], [0.829, 0.829, 0.250], [0.171, 0.171, 0.750]]}

=====

Which of them is the most stable? Correct choice: model four.

=====

Model one:
{"formula": "GaCBr2", "functional": "PBEsol", "state": "optimized geometry", "vol_a3_per_cell": 101, "magmom_total_mub_per_fu": 1.19, "cell": [[-0.036, -3.753, 0.457], [3.189, -1.986, -0.424], [2.700, -0.961, 7.963]], "species": ["C", "Ga", "Br", "Br"], "fractional_positions": [[0.000, 0.000, 0.000], [0.500, 0.500, 0.500], [0.910, 0.910, 0.269], [0.090, 0.090, 0.731]]}

=====

Model two:
{"formula": "GaCBr2", "functional": "PBEsol", "state": "optimized geometry", "vol_a3_per_cell": 77, "magmom_total_mub_per_fu": 0.76, "cell": [[-2.624, 0.916, 3.889], [-2.386, -3.534, 2.160], [1.431, -1.585, 4.277]], "species": ["C", "Ga", "Br", "Br"], "fractional_positions": [[0.000, 0.000, 0.000], [0.500, 0.500, 0.500], [0.250, 0.250, 0.250], [0.750, 0.750, 0.750]]}

=====

Which of them is the most stable? Correct choice: model one.